# CdCu2Os, optimized geometry, DFT PBEsol
data_CdCu2Os
_cell_length_a 9.712
_cell_length_b 2.655
_cell_length_c 4.626
_cell_angle_alpha 90.00
_cell_angle_beta 112.53
_cell_angle_gamma 90.00
_symmetry_space_group_name_H-M 'P 1'
_symmetry_Int_Tables_number 1
loop_
_symmetry_equiv_pos_as_xyz
'x,y,z'
loop_
_atom_site_label
_atom_site_fract_x
_atom_site_fract_y
_atom_site_fract_z
_atom_site_occupancy
Cd1 0.000 0.000 0.000 1
Cd2 0.500 0.500 0.000 1
Cu1 0.255 0.500 0.136 1
Cu2 0.481 0.000 0.494 1
Cu3 0.755 0.000 0.136 1
Cu4 0.981 0.500 0.494 1
Os1 0.229 0.000 0.614 1
Os2 0.729 0.500 0.614 1
# Formation energy (eV/atom): 0.358
# Final energy (eV/atom): -5.16

---

# CdCuP2, optimized geometry, DFT PBEsol
data_CdCuP2
_cell_length_a 2.810
_cell_length_b 2.810
_cell_length_c 27.968
_cell_angle_alpha 90.00
_cell_angle_beta 90.00
_cell_angle_gamma 120.00
_symmetry_space_group_name_H-M 'P 1'
_symmetry_Int_Tables_number 1
loop_
_symmetry_equiv_pos_as_xyz
'x,y,z'
loop_
_atom_site_label
_atom_site_fract_x
_atom_site_fract_y
_atom_site_fract_z
_atom_site_occupancy
Cd1 0.000 0.000 0.000 1
Cd2 0.333 0.667 0.667 1
Cd3 0.667 0.333 0.333 1
Cu1 0.000 0.000 0.500 1
Cu2 0.333 0.667 0.167 1
Cu3 0.667 0.333 0.833 1
P1 0.000 0.000 0.232 1
P2 0.000 0.000 0.768 1
P3 0.333 0.667 0.435 1
P4 0.333 0.667 0.899 1
P5 0.667 0.333 0.101 1
P6 0.667 0.333 0.565 1
# Formation energy (eV/atom): 0.291
# Final energy (eV/atom): -3.99

---

# Cd2CuP, optimized geometry, DFT PBEsol
data_Cd2CuP
_cell_length_a 2.966
_cell_length_b 2.966
_cell_length_c 26.788
_cell_angle_alpha 90.00
_cell_angle_beta 90.00
_cell_angle_gamma 120.00
_symmetry_space_group_name_H-M 'P 1'
_symmetry_Int_Tables_number 1
loop_
_symmetry_equiv_pos_as_xyz
'x,y,z'
loop_
_atom_site_label
_atom_site_fract_x
_atom_site_fract_y
_atom_site_fract_z
_atom_site_occupancy
Cd1 0.000 0.000 0.245 1
Cd2 0.000 0.000 0.755 1
Cd3 0.333 0.667 0.422 1
Cd4 0.333 0.667 0.912 1
Cd5 0.667 0.333 0.088 1
Cd6 0.667 0.333 0.578 1
Cu1 0.000 0.000 0.500 1
Cu2 0.333 0.667 0.167 1
Cu3 0.667 0.333 0.833 1
P1 0.000 0.000 0.000 1
P2 0.333 0.667 0.667 1
P3 0.667 0.333 0.333 1
# Formation energy (eV/atom): 0.303
# Final energy (eV/atom): -2.83

---

# Cd3Cu2P10, optimized geometry, DFT PBEsol
data_Cd3Cu2P10
_cell_length_a 7.343
_cell_length_b 7.343
_cell_length_c 7.343
_cell_angle_alpha 60.32
_cell_angle_beta 60.32
_cell_angle_gamma 60.32
_symmetry_space_group_name_H-M 'P 1'
_symmetry_Int_Tables_number 1
loop_
_symmetry_equiv_pos_as_xyz
'x,y,z'
loop_
_atom_site_label
_atom_site_fract_x
_atom_site_fract_y
_atom_site_fract_z
_atom_site_occupancy
Cd1 0.080 0.460 0.460 1
Cd2 0.460 0.080 0.460 1
Cd3 0.460 0.460 0.080 1
Cu1 0.473 0.473 0.473 1
Cu2 0.862 0.862 0.862 1
P1 0.353 0.874 0.874 1
P2 0.359 0.359 0.854 1
P3 0.359 0.854 0.359 1
P4 0.481 0.992 0.992 1
P5 0.854 0.359 0.359 1
P6 0.874 0.353 0.874 1
P7 0.874 0.874 0.353 1
P8 0.990 0.990 0.990 1
P9 0.992 0.481 0.992 1
P10 0.992 0.992 0.481 1
# Formation energy (eV/atom): -0.117
# Final energy (eV/atom): -4.79

---

# Cd2CuP, optimized geometry, DFT PBEsol
data_Cd2CuP
_cell_length_a 2.850
_cell_length_b 5.018
_cell_length_c 4.888
_cell_angle_alpha 90.00
_cell_angle_beta 92.83
_cell_angle_gamma 90.00
_symmetry_space_group_name_H-M 'P 1'
_symmetry_Int_Tables_number 1
loop_
_symmetry_equiv_pos_as_xyz
'x,y,z'
loop_
_atom_site_label
_atom_site_fract_x
_atom_site_fract_y
_atom_site_fract_z
_atom_site_occupancy
Cd1 0.237 0.000 0.255 1
Cd2 0.763 0.000 0.745 1
Cu1 0.000 0.500 0.500 1
P1 0.000 0.500 0.000 1
# Formation energy (eV/atom): 0.254
# Final energy (eV/atom): -2.88

---

# CdCu2P, optimized geometry, DFT PBEsol
data_CdCu2P
_cell_length_a 2.881
_cell_length_b 2.881
_cell_length_c 23.744
_cell_angle_alpha 90.00
_cell_angle_beta 90.00
_cell_angle_gamma 120.00
_symmetry_space_group_name_H-M 'P 1'
_symmetry_Int_Tables_number 1
loop_
_symmetry_equiv_pos_as_xyz
'x,y,z'
loop_
_atom_site_label
_atom_site_fract_x
_atom_site_fract_y
_atom_site_fract_z
_atom_site_occupancy
Cd1 0.000 0.000 0.000 1
Cd2 0.333 0.667 0.667 1
Cd3 0.667 0.333 0.333 1
Cu1 0.000 0.000 0.240 1
Cu2 0.000 0.000 0.760 1
Cu3 0.333 0.667 0.427 1
Cu4 0.333 0.667 0.906 1
Cu5 0.667 0.333 0.094 1
Cu6 0.667 0.333 0.573 1
P1 0.000 0.000 0.500 1
P2 0.333 0.667 0.167 1
P3 0.667 0.333 0.833 1
# Energy above the most stable polymorph in this dataset (meV/atom): 10
# Formation energy (eV/atom): 0.129
# Final energy (eV/atom): -3.79

---

# CdCu2P, optimized geometry, DFT PBEsol
data_CdCu2P
_cell_length_a 3.084
_cell_length_b 3.886
_cell_length_c 4.969
_cell_angle_alpha 90.00
_cell_angle_beta 90.00
_cell_angle_gamma 90.00
_symmetry_space_group_name_H-M 'P 1'
_symmetry_Int_Tables_number 1
loop_
_symmetry_equiv_pos_as_xyz
'x,y,z'
loop_
_atom_site_label
_atom_site_fract_x
_atom_site_fract_y
_atom_site_fract_z
_atom_site_occupancy
Cd1 0.000 0.000 0.000 1
Cu1 0.500 0.500 0.250 1
Cu2 0.500 0.500 0.750 1
P1 0.500 0.000 0.500 1
# Energy above the most stable polymorph in this dataset (meV/atom): 0
# Formation energy (eV/atom): 0.119
# Final energy (eV/atom): -3.79

---

# Cd2CuP, optimized geometry, DFT PBEsol
data_Cd2CuP
_cell_length_a 6.524
_cell_length_b 6.524
_cell_length_c 6.524
_cell_angle_alpha 90.00
_cell_angle_beta 90.00
_cell_angle_gamma 90.00
_symmetry_space_group_name_H-M 'P 1'
_symmetry_Int_Tables_number 1
loop_
_symmetry_equiv_pos_as_xyz
'x,y,z'
loop_
_atom_site_label
_atom_site_fract_x
_atom_site_fract_y
_atom_site_fract_z
_atom_site_occupancy
Cd1 0.000 0.000 0.000 1
Cd2 0.000 0.500 0.500 1
Cd3 0.250 0.250 0.250 1
Cd4 0.250 0.750 0.750 1
Cd5 0.500 0.000 0.500 1
Cd6 0.500 0.500 0.000 1
Cd7 0.750 0.250 0.750 1
Cd8 0.750 0.750 0.250 1
Cu1 0.250 0.250 0.750 1
Cu2 0.250 0.750 0.250 1
Cu3 0.750 0.250 0.250 1
Cu4 0.750 0.750 0.750 1
P1 0.000 0.000 0.500 1
P2 0.000 0.500 0.000 1
P3 0.500 0.000 0.000 1
P4 0.500 0.500 0.500 1
# Formation energy (eV/atom): 0.333
# Final energy (eV/atom): -2.80